Run i
Below is a relaxed Mg2InSn3 crystal, with properties calculated at the GGA-PBE level.

As for the density of states at the Fermi level: 3.77 states/eV per cell.

The structure belongs to space group Pmmn (No. 59, origin choice 2); the cell edges are 4.6070, 14.8389 and 4.4196 Å and the angles 90.00°, 90.00° and 90.00°. The asymmetric unit holds Mg at (0.2500, 0.0825, 0.9998), In at (0.2500, 0.7500, 0.0006), Sn at (0.2500, 0.2500, 0.4995) and Sn at (0.2500, 0.5788, 0.5002).

Run ii
Below is a relaxed Mg2InSn3 crystal, with properties calculated at the GGA-PBE level.

As for the density of states at the Fermi level: 2.42 states/eV per cell.

The structure belongs to space group P4/mmm (No. 123); the cell edges are 3.3953, 3.3953 and 13.1199 Å and the angles 90.00°, 90.00° and 90.00°. The asymmetric unit holds Mg at (0.0000, 0.0000, 0.1591), In at (0.0000, 0.0000, 0.5000), Sn at (0.5000, 0.5000, 0.0000) and Sn at (0.5000, 0.5000, 0.3174).

Least stable: run i

Run i
Below is a relaxed Mg3In2Sn3 crystal, with properties calculated at the GGA-PBE level.

As for the density of states at the Fermi level: 3.56 states/eV per cell.

The structure belongs to space group P1 (No. 1); the cell edges are 5.7953, 6.0015 and 6.0053 Å and the angles 101.14°, 94.42° and 94.56°. The asymmetric unit holds Mg at (0.0000, 0.0000, 0.0000), Mg at (0.2142, 0.8207, 0.4898), Mg at (0.7849, 0.5094, 0.1802), In at (0.2778, 0.5557, 0.9845), In at (0.7217, 0.0151, 0.4436), Sn at (0.2253, 0.3159, 0.4433), Sn at (0.5001, 0.0687, 0.9303) and Sn at (0.7748, 0.5561, 0.6851).

Run ii
Below is a relaxed Mg3In2Sn3 crystal, with properties calculated at the GGA-PBE level.

As for the density of states at the Fermi level: 7.63 states/eV per cell.

The structure belongs to space group Immm (No. 71); the cell edges are 4.2985, 4.7443 and 19.4400 Å and the angles 90.00°, 90.00° and 90.00°. The asymmetric unit holds Mg at (0.0000, 0.0000, 0.0000), Mg at (0.0000, 0.5000, 0.1242), In at (0.0000, 0.0000, 0.2503), Sn at (0.0000, 0.0000, 0.5000) and Sn at (0.0000, 0.5000, 0.3795).

Least stable: run i

Run i
Below is a relaxed Mg2InSn2 crystal, with properties calculated at the GGA-PBE level.

As for the density of states at the Fermi level: 3.41 states/eV per cell.

The structure belongs to space group P4/mbm (No. 127); the cell edges are 8.8697, 8.8697 and 3.2264 Å and the angles 90.00°, 90.00° and 90.00°. The asymmetric unit holds Mg at (0.1364, 0.3636, 0.0000), In at (0.0000, 0.0000, 0.5000) and Sn at (0.1602, 0.6602, 0.5000).

Run ii
Below is a relaxed Mg2InSn2 crystal, with properties calculated at the GGA-PBE level.

As for the density of states at the Fermi level: 4.72 states/eV per cell.

The structure belongs to space group Cmmm (No. 65); the cell edges are 4.5465, 13.4262 and 4.3082 Å and the angles 90.00°, 90.00° and 90.00°. The asymmetric unit holds Mg at (0.0000, 0.1633, 0.0000), In at (0.0000, 0.0000, 0.5000) and Sn at (0.0000, 0.3378, 0.5000).

Least stable: run ii

Run i
Below is a relaxed Mg6In12Sn crystal, with properties calculated at the GGA-PBE level.

As for the density of states at the Fermi level: 16.95 states/eV per cell.

The structure belongs to space group R-3 (No. 148, hexagonal axes); the cell edges are 13.3345, 13.3345 and 9.6480 Å and the angles 90.00°, 90.00° and 120.00°. The asymmetric unit holds Mg at (0.0840, 0.9112, 0.2548), In at (0.0006, 0.7351, 0.5018), In at (0.0914, 0.5487, 0.6050) and Sn at (0.0000, 0.0000, 0.5000).

Run ii
Below is a relaxed Mg6In12Sn crystal, with properties calculated at the GGA-PBE level.

As for the density of states at the Fermi level: 29.70 states/eV per cell.

The structure belongs to space group R-3 (No. 148, hexagonal axes); the cell edges are 11.7690, 11.7690 and 12.6364 Å and the angles 90.00°, 90.00° and 120.00°. The asymmetric unit holds Mg at (0.0518, 0.4680, 0.2077), In at (0.0536, 0.1815, 0.3074), In at (0.0547, 0.7924, 0.9116) and Sn at (0.0000, 0.0000, 0.0000).

Least stable: run ii

Run i
Below is a relaxed Mg6In5Sn crystal, with properties calculated at the GGA-PBE level.

As for the density of states at the Fermi level: 7.91 states/eV per cell.

The structure belongs to space group Immm (No. 71); the cell edges are 4.6342, 8.7662 and 13.8893 Å and the angles 90.00°, 90.00° and 90.00°. The asymmetric unit holds Mg at (0.0000, 0.2482, 0.0000), Mg at (0.0000, 0.2512, 0.3339), In at (0.0000, 0.0000, 0.1700), In at (0.0000, 0.0000, 0.5000), In at (0.0000, 0.5000, 0.1639) and Sn at (0.0000, 0.5000, 0.5000).

Run ii
Below is a relaxed Mg6In5Sn crystal, with properties calculated at the GGA-PBE level.

As for the density of states at the Fermi level: 9.82 states/eV per cell.

The structure belongs to space group C2/m (No. 12); the cell edges are 5.1470, 15.2296 and 7.2851 Å and the angles 90.00°, 91.18° and 90.00°. The asymmetric unit holds Mg at (0.9998, 0.1660, 0.2481), Mg at (0.0009, 0.5000, 0.7475), In at (0.0000, 0.0000, 0.0000), In at (0.0000, 0.3311, 0.5000), In at (0.0000, 0.3339, 0.0000) and Sn at (0.0000, 0.0000, 0.5000).

Least stable: run ii

Run i
Below is a relaxed TbMgInSn crystal, with properties calculated at the GGA-PBE level.

As for the density of states at the Fermi level: 1.93 states/eV per cell.

The structure belongs to space group Pmmm (No. 47); the cell edges are 4.4664, 4.6205 and 4.7653 Å and the angles 90.00°, 90.00° and 90.00°. The asymmetric unit holds Tb at (0.0000, 0.0000, 0.0000), Mg at (0.0000, 0.5000, 0.5000), In at (0.5000, 0.0000, 0.5000) and Sn at (0.5000, 0.5000, 0.0000).

Run ii
Below is a relaxed TbMgInSn crystal, with properties calculated at the GGA-PBE level.

As for the density of states at the Fermi level: 15.45 states/eV per cell.

The structure belongs to space group F-43m (No. 216); the cell edges are 7.4246, 7.4246 and 7.4246 Å and the angles 90.00°, 90.00° and 90.00°. The asymmetric unit holds Tb at (0.0000, 0.0000, 0.0000), Mg at (0.0000, 0.0000, 0.5000), In at (0.2500, 0.2500, 0.2500) and Sn at (0.2500, 0.2500, 0.7500).

Least stable: run ii

Run i
Below is a relaxed ThMgInSn crystal, with properties calculated at the GGA-PBE level.

As for the density of states at the Fermi level: 1.80 states/eV per cell.

The structure belongs to space group Pmmm (No. 47); the cell edges are 4.5350, 4.7546 and 4.8737 Å and the angles 90.00°, 90.00° and 90.00°. The asymmetric unit holds Th at (0.0000, 0.0000, 0.0000), Mg at (0.0000, 0.5000, 0.5000), In at (0.5000, 0.0000, 0.5000) and Sn at (0.5000, 0.5000, 0.0000).

Run ii
Below is a relaxed ThMgInSn crystal, with properties calculated at the GGA-PBE level.

As for the density of states at the Fermi level: 11.53 states/eV per cell.

The structure belongs to space group F-43m (No. 216); the cell edges are 7.5259, 7.5259 and 7.5259 Å and the angles 90.00°, 90.00° and 90.00°. The asymmetric unit holds Th at (0.0000, 0.0000, 0.0000), Mg at (0.0000, 0.0000, 0.5000), In at (0.2500, 0.2500, 0.7500) and Sn at (0.2500, 0.2500, 0.2500).

Least stable: run ii

Run i
Below is a relaxed SrMg4In crystal, with properties calculated at the GGA-PBE level.

As for the density of states at the Fermi level: 6.81 states/eV per cell.

The structure belongs to space group Pmma (No. 51); the cell edges are 8.7709, 4.6924 and 8.1112 Å and the angles 90.00°, 90.00° and 90.00°. The asymmetric unit holds Sr at (0.2500, 0.0000, 0.1258), Mg at (0.0000, 0.0000, 0.5000), Mg at (0.0535, 0.5000, 0.8052), Mg at (0.2500, 0.5000, 0.4564) and In at (0.2500, 0.0000, 0.7196).

Run ii
Below is a relaxed SrMg4In crystal, with properties calculated at the GGA-PBE level.

As for the density of states at the Fermi level: 6.31 states/eV per cell.

The structure belongs to space group F-43m (No. 216); the cell edges are 8.7210, 8.7210 and 8.7210 Å and the angles 90.00°, 90.00° and 90.00°. The asymmetric unit holds Sr at (0.0000, 0.0000, 0.0000), Mg at (0.1245, 0.1245, 0.3755) and In at (0.2500, 0.2500, 0.7500).

Least stable: run ii